# Tb2PrIn3Cu3 PBE optimized geometry
# E	-4.1103	eV per atom
# V	391	Å³/cell
data_Tb2PrIn3Cu3
_chemical_formula_sum 'Tb4 Pr2 In6 Cu6'
_symmetry_space_group_name_H-M 'A m m 2'
_symmetry_Int_Tables_number 38
_cell_length_a 3.944
_cell_length_b 13.083
_cell_length_c 7.573
_cell_angle_alpha 90.00
_cell_angle_beta 90.00
_cell_angle_gamma 90.00
loop_
_symmetry_equiv_pos_as_xyz
'x,y,z'
'-x,-y,z'
'-x,y,z'
'x,-y,z'
'x,y+1/2,z+1/2'
'-x,-y+1/2,z+1/2'
'-x,y+1/2,z+1/2'
'x,-y+1/2,z+1/2'
loop_
_atom_site_label
_atom_site_type_symbol
_atom_site_fract_x
_atom_site_fract_y
_atom_site_fract_z
_atom_site_occupancy
Tb1 Tb 0.000 0.205 0.000 1
Pr1 Pr 0.000 0.000 0.383 1
In1 In 0.500 0.000 0.045 1
In2 In 0.500 0.128 0.671 1
Cu1 Cu 0.000 0.000 0.797 1
Cu2 Cu 0.500 0.170 0.295 1